Record 1
An optimized crystal structure of Pm6TeAs3S2, computed with PBE.

Properties
electronic total energy: -74.15 eV/f.u.
space group: No. 12
crystal system: monoclinic
total magnetization: 0.00 μB per formula unit

Unit cell a=9.428 b=9.428 c=8.458 alpha=102.98 beta=102.98 gamma=25.82
Positions (direct):
Pm1 0.002 0.002 0.270
Pm2 0.325 0.325 0.912
Pm3 0.332 0.332 0.416
Pm4 0.668 0.668 0.584
Pm5 0.675 0.675 0.088
Pm6 0.998 0.998 0.730
Te1 0.500 0.500 0.000
As1 0.164 0.164 0.832
As2 0.500 0.500 0.500
As3 0.836 0.836 0.168
S1 0.169 0.169 0.335
S2 0.831 0.831 0.665

Record 2
An optimized crystal structure of TbPm3PrSc, computed with PBE.

Properties
electronic total energy: -29.74 eV/f.u.
calculated formation energy: 43 meV per atom
space group: No. 11
crystal system: monoclinic
total magnetization: 0.00 μB per formula unit

Unit cell a=7.979 b=5.097 c=10.149 alpha=90.00 beta=108.71 gamma=90.00
Positions (direct):
Tb1 0.000 0.250 0.128
Tb2 0.000 0.750 0.872
Pm1 0.322 0.250 0.458
Pm2 0.328 0.750 0.210
Pm3 0.329 0.250 0.955
Pm4 0.671 0.750 0.045
Pm5 0.672 0.250 0.790
Pm6 0.678 0.750 0.542
Pr1 0.324 0.750 0.703
Pr2 0.676 0.250 0.297
Sc1 0.000 0.250 0.622
Sc2 0.000 0.750 0.378

Record 3
An optimized crystal structure of PmHF, computed with PBE.

Properties
electronic total energy: -15.38 eV/f.u.
ΔE to the lowest computed polymorph: 0.2556 eV per atom
space group: No. 156
crystal system: trigonal
total magnetization: 0.00 μB per formula unit

Unit cell a=3.999 b=3.999 c=3.616 alpha=90.00 beta=90.00 gamma=120.00
Positions (direct):
Pm1 0.000 0.000 0.000
H1 0.667 0.333 0.196
F1 0.333 0.667 0.852